7
Lattice="-1.3706 -5.5929 -0.5335 5.2376 -1.0733 -2.2044 0.8157 1.9731 8.5628" Properties=species:S:1:pos:R:3 comment="Tl4Sn2Hg GGA-PBE optimized geometry" magnetic_moment_mub_per_fu=0.000 dos_ef_per_ev_atom=0.49 de_polymorph_mev_per_atom=221 formation_energy_ev_per_fu=1.72 crystal_system=tetragonal sg="I4/mmm (139)" pbc="T T T"
Sn 2.4822 -3.6045 0.0670
Hg 0.0000 0.0000 0.0000
Tl 2.6188 -0.5366 -1.1022
Tl 1.0945 -0.5414 2.8639
Tl -0.6853 -2.7964 -0.2667
Sn 2.2004 -1.0885 5.7579
Tl 3.5882 -4.1516 2.9609